A geometry-optimized YTc structure, computed with PBE-GGA.

Calculated values
Density ... 6.8 g/cm³
ΔE_f ... 122 meV/atom
SG ... No. 11

Lattice parameters (Å, degrees): 3.397 4.166 6.725 90.00 74.58 90.00
Atoms (fractional coordinates):
Tc 0.084 0.000 0.044
Tc 0.166 0.500 0.206
Y 0.773 0.500 0.812
Y 0.477 0.000 0.438